1.
First-principles (GGA-PBE) data for a relaxed K23Na8Cd12In48 crystal, as listed in Alexandria via LeMat-Bulk.

The value obtained for the energy relative to the elements is -166.5 meV/atom. Its density of states at the Fermi level is 23.3 states/eV/f.u. The calculation puts the volume at 2771 Å³/cell. For the total DFT energy (no corrections), the calculation gives -2.125 eV per atom.

a = 17.4199 Å, b = 17.4199 Å, c = 10.5449 Å
α = 90.00°, β = 90.00°, γ = 120.00°
With the nearest neighbours (Å) after each atom.
Space group P6/mmm (No. 191)
Asymmetric unit:
K: 0.0000 0.0000 0.0000 x1  8 Na 3.69-3.99, 12 Cd 4.13
K: 0.0000 0.3660 0.5000 x6  10 In 3.71-3.96, 4 K 3.87, 2 Cd 4.14
K: 0.2065 0.4129 0.3033 x12  9 In 3.57-3.91, 3 K 3.87-3.99, 2 Cd 3.87, 1 Na 3.90
K: 0.3333 0.6667 0.1978 x4  12 In 3.57-3.71, 3 K 3.99
Na: 0.0000 0.0000 0.3502 x2  1 Na 3.16, 6 Cd 3.32
Na: 0.1324 0.2647 0.0000 x6  4 Cd 3.34, 6 In 3.62-3.73
Cd: 0.0000 0.1813 0.2525 x12  3 In 3.07-3.09, 2 Cd 3.16, 3 Na 3.32-3.34
In: 0.0000 0.3465 0.1499 x12  1 Cd 3.07, 5 In 3.07-3.24
In: 0.0993 0.5496 0.2501 x12  6 In 3.00-3.24
In: 0.1069 0.2138 0.5000 x6  4 Cd 3.09, 2 In 3.23
In: 0.1579 0.4904 0.0000 x12  6 In 3.04-3.18
In: 0.2124 0.6062 0.5000 x6  4 In 3.14-3.16

---

2.
First-principles (GGA-PBE) data for a relaxed KNaCd2In2 crystal, as listed in Alexandria via LeMat-Bulk.

The value obtained for the energy relative to the elements is -114.2 meV/atom. Its density of states at the Fermi level is 3.2 states/eV/f.u. The calculation puts the volume at 184 Å³/cell. For the total DFT energy (no corrections), the calculation gives -1.735 eV per atom.

a = 5.0528 Å, b = 5.0528 Å, c = 8.3403 Å
α = 90.00°, β = 90.00°, γ = 120.00°
With the nearest neighbours (Å) after each atom.
Space group P-3m1 (No. 164)
Asymmetric unit:
K: 0.0000 0.0000 0.0000 x1  6 In 3.85, 6 Cd 3.90, 2 Na 4.17
Na: 0.0000 0.0000 0.5000 x1  6 Cd 3.32, 6 In 3.35
Cd: 0.3333 0.6667 0.3102 x2  4 In 2.92-3.24
In: 0.3333 0.6667 0.6981 x2  4 Cd 2.92-3.24

---

3.
First-principles (GGA-PBE) data for a relaxed K2Na4CdIn2 crystal, as listed in Alexandria via LeMat-Bulk.

The value obtained for the energy relative to the elements is -77.8 meV/atom. Its density of states at the Fermi level is 2.9 states/eV/f.u. The calculation puts the volume at 634 Å³/cell. For the total DFT energy (no corrections), the calculation gives -1.618 eV per atom.

a = 11.3263 Å, b = 7.1319 Å, c = 7.9239 Å
α = 90.00°, β = 97.64°, γ = 90.00°
With the nearest neighbours (Å) after each atom.
Space group C2/m (No. 12)
Asymmetric unit:
K: 0.1615 0.0000 0.3966 x4  3 In 3.73-3.88, 3 Cd 3.81-4.14, 6 Na 3.85-4.16
Na: 0.1211 0.2461 0.8613 x8  3 In 3.25-3.46, 3 Na 3.41-3.62, 1 Cd 3.51
Cd: 0.0000 0.5000 0.5000 x2  2 In 2.91
In: 0.1254 0.5000 0.2021 x4  1 Cd 2.91, 2 Na 3.25

---

4.
First-principles (GGA-PBE) data for a relaxed KNaCdIn crystal, as listed in Alexandria via LeMat-Bulk.

The value obtained for the energy relative to the elements is -47.9 meV/atom. Its density of states at the Fermi level is 2.0 states/eV/f.u. The calculation puts the volume at 475 Å³/cell. For the total DFT energy (no corrections), the calculation gives -1.565 eV per atom.

a = 7.8011 Å, b = 7.8011 Å, c = 7.8011 Å
α = 90.00°, β = 90.00°, γ = 90.00°
With the nearest neighbours (Å) after each atom.
Space group F-43m (No. 216)
Asymmetric unit:
K: 0.0000 0.0000 0.0000 x4  4 Cd 3.38, 4 Na 3.38
Na: 0.2500 0.2500 0.2500 x4  4 In 3.38, 4 K 3.38
Cd: 0.2500 0.2500 0.7500 x4  4 K 3.38, 4 In 3.38
In: 0.0000 0.0000 0.5000 x4  4 Cd 3.38, 4 Na 3.38

---

5.
First-principles (GGA-PBE) data for a relaxed KNaCdIn crystal, as listed in Alexandria via LeMat-Bulk.

The value obtained for the energy relative to the elements is -87.5 meV/atom. Its density of states at the Fermi level is 2.7 states/eV/f.u. The calculation puts the volume at 284 Å³/cell. For the total DFT energy (no corrections), the calculation gives -1.605 eV per atom.

a = 8.8999 Å, b = 5.1415 Å, c = 6.8892 Å
α = 90.00°, β = 115.68°, γ = 90.00°
With the nearest neighbours (Å) after each atom.
Space group Cm (No. 8)
Asymmetric unit:
K: 0.0000 0.0000 0.0000 x2  4 Na 3.73-3.88, 4 In 3.75-3.91, 3 Cd 3.81-3.82
Na: 0.2994 0.5000 0.4000 x2  3 Cd 3.25, 3 In 3.29
Cd: 0.0374 0.5000 0.6129 x2  3 In 2.97, 3 Na 3.25
In: 0.2096 0.0000 0.6298 x2  3 Cd 2.97, 3 Na 3.29

---

6.
First-principles (GGA-PBE) data for a relaxed KNaCd4In2 crystal, as listed in Alexandria via LeMat-Bulk.

The value obtained for the energy relative to the elements is -39.6 meV/atom. Its density of states at the Fermi level is 3.9 states/eV/f.u. The calculation puts the volume at 641 Å³/cell. For the total DFT energy (no corrections), the calculation gives -1.484 eV per atom.

a = 5.2609 Å, b = 5.2609 Å, c = 26.7331 Å
α = 90.00°, β = 90.00°, γ = 120.00°
With the nearest neighbours (Å) after each atom.
Space group R-3m (No. 166, hexagonal axes)
Asymmetric unit:
K: 0.0000 0.0000 0.0000 x3  8 Cd 3.34-3.51
Na: 0.0000 0.0000 0.5000 x3  8 Cd 3.07-3.18
Cd: 0.0000 0.0000 0.1311 x6  4 In 3.15-3.28, 3 Na 3.18, 1 K 3.51
Cd: 0.0000 0.0000 0.3853 x6  1 Na 3.07, 3 In 3.16, 3 K 3.34
In: 0.0000 0.0000 0.2488 x6  7 Cd 3.15-3.28

---

7.
First-principles (GGA-PBE) data for a relaxed KNaCdIn2 crystal, as listed in Alexandria via LeMat-Bulk.

The value obtained for the energy relative to the elements is -81.6 meV/atom. Its density of states at the Fermi level is 1.8 states/eV/f.u. The calculation puts the volume at 326 Å³/cell. For the total DFT energy (no corrections), the calculation gives -1.843 eV per atom.

a = 5.1503 Å, b = 5.1864 Å, c = 12.1871 Å
α = 90.00°, β = 90.00°, γ = 90.00°
With the nearest neighbours (Å) after each atom.
Space group Imm2 (No. 44)
Asymmetric unit:
K: 0.0000 0.0000 0.0000 x2  8 In 3.92-4.04, 4 Cd 3.94, 4 Na 3.98-4.01
Na: 0.0000 0.5000 0.7490 x2  2 Cd 3.03, 2 In 3.05
Cd: 0.0000 0.0000 0.6197 x2  3 In 2.88-3.05, 2 Na 3.03
In: 0.0000 0.0000 0.3837 x2  1 Cd 2.88, 2 In 3.03, 2 Na 3.05
In: 0.0000 0.5000 0.2545 x2  2 In 3.03, 2 Cd 3.05

---

8.
First-principles (GGA-PBE) data for a relaxed KNa2Cd2In2 crystal, as listed in Alexandria via LeMat-Bulk.

The value obtained for the energy relative to the elements is -101.0 meV/atom. Its density of states at the Fermi level is 2.2 states/eV/f.u. The calculation puts the volume at 423 Å³/cell. For the total DFT energy (no corrections), the calculation gives -1.679 eV per atom.

a = 8.9830 Å, b = 5.1935 Å, c = 9.5709 Å
α = 90.00°, β = 108.59°, γ = 90.00°
With the nearest neighbours (Å) after each atom.
Space group C2/m (No. 12)
Asymmetric unit:
K: 0.0000 0.0000 0.0000 x2  6 Cd 3.72-3.74, 2 Na 3.75, 6 In 4.05-4.08
Na: 0.1380 0.0000 0.4130 x4  4 Cd 3.11-3.37, 3 In 3.16, 3 Na 3.38-3.40
Cd: 0.2479 0.5000 0.2440 x4  3 In 3.04, 4 Na 3.11-3.37
In: 0.0655 0.5000 0.6967 x4  3 Cd 3.04, 3 Na 3.16

---

9.
First-principles (GGA-PBE) data for a relaxed KNaCd2In crystal, as listed in Alexandria via LeMat-Bulk.

The value obtained for the energy relative to the elements is -49.3 meV/atom. Its density of states at the Fermi level is 2.7 states/eV/f.u. The calculation puts the volume at 313 Å³/cell. For the total DFT energy (no corrections), the calculation gives -1.446 eV per atom.

a = 4.3475 Å, b = 5.2129 Å, c = 13.8030 Å
α = 90.00°, β = 90.00°, γ = 90.00°
With the nearest neighbours (Å) after each atom.
Space group Imm2 (No. 44)
Asymmetric unit:
K: 0.0000 0.0000 0.0000 x2  4 In 3.67, 6 Cd 3.74-3.80, 2 Na 3.95
Na: 0.0000 0.5000 0.7387 x2  2 In 3.10, 6 Cd 3.13-3.43
Cd: 0.0000 0.0000 0.6137 x2  1 In 2.96, 2 Cd 3.11, 2 Na 3.13
Cd: 0.0000 0.5000 0.2746 x2  2 Cd 3.11, 2 In 3.12, 4 Na 3.43
In: 0.0000 0.0000 0.3991 x2  3 Cd 2.96-3.12, 2 Na 3.10

---

10.
First-principles (GGA-PBE) data for a relaxed KNbCdIn2 crystal, as listed in Alexandria via LeMat-Bulk.

The value obtained for the energy relative to the elements is 370.0 meV/atom. Its density of states at the Fermi level is 4.9 states/eV/f.u. The calculation puts the volume at 169 Å³/cell. For the total DFT energy (no corrections), the calculation gives -3.142 eV per atom.

a = 5.4828 Å, b = 5.4828 Å, c = 5.6185 Å
α = 90.00°, β = 90.00°, γ = 90.00°
With the nearest neighbours (Å) after each atom.
Space group P4/mmm (No. 123)
Asymmetric unit:
K: 0.0000 0.0000 0.0000 x1  4 Cd 3.88, 8 In 3.93
Nb: 0.5000 0.5000 0.5000 x1  4 In 2.74, 2 Cd 2.81
Cd: 0.5000 0.5000 0.0000 x1  2 Nb 2.81
In: 0.0000 0.5000 0.5000 x2  2 Nb 2.74

---

Which of these has the lowest energy relative to the elements? K23Na8Cd12In48

---

Which value of energy relative to the elements does entry 1 give? -166.5 meV/atom

---

Among the records above, which one has the highest total DFT energy (no corrections)? KNaCd2In

---

Which formula does entry 10 have? KNbCdIn2